No. 1
Material: TaPI2N
Method: DFT, PBE-GGA
State: relaxed

It has space group P4/mmm (No. 123), with a = 5.617 Å, b = 5.617 Å, c = 3.355 Å, α = 90.00°, β = 90.00° and γ = 90.00°. The distinct sites, in fractional coordinates, are Ta at (0.000, 0.000, 0.000), P at (0.500, 0.500, 0.500), I at (0.000, 0.500, 0.500) and N at (0.500, 0.500, 0.000).

***

No. 2
Material: TcPIN2
Method: DFT, PBE-GGA
State: relaxed

It has space group P4/mmm (No. 123), with a = 3.607 Å, b = 3.607 Å, c = 6.947 Å, α = 90.00°, β = 90.00° and γ = 90.00°. The distinct sites, in fractional coordinates, are Tc at (0.000, 0.000, 0.000), P at (0.500, 0.500, 0.500), I at (0.500, 0.500, 0.000) and N at (0.000, 0.500, 0.500).

***

No. 3
Material: TcPIN2
Method: DFT, PBE-GGA
State: relaxed

It has space group P4/mmm (No. 123), with a = 3.854 Å, b = 3.854 Å, c = 5.995 Å, α = 90.00°, β = 90.00° and γ = 90.00°. The distinct sites, in fractional coordinates, are Tc at (0.000, 0.000, 0.000), P at (0.500, 0.500, 0.500), I at (0.000, 0.000, 0.500) and N at (0.000, 0.500, 0.000).

***

No. 4
Material: TePIN2
Method: DFT, PBE-GGA
State: relaxed

It has space group P4/mmm (No. 123), with a = 3.929 Å, b = 3.929 Å, c = 7.866 Å, α = 90.00°, β = 90.00° and γ = 90.00°. The distinct sites, in fractional coordinates, are Te at (0.000, 0.000, 0.000), P at (0.500, 0.500, 0.000), I at (0.000, 0.000, 0.500) and N at (0.000, 0.500, 0.500).

***

No. 5
Material: Te2PIN
Method: DFT, PBE-GGA
State: relaxed

It has space group P4/mmm (No. 123), with a = 5.903 Å, b = 5.903 Å, c = 3.915 Å, α = 90.00°, β = 90.00° and γ = 90.00°. The distinct sites, in fractional coordinates, are Te at (0.000, 0.500, 0.000), P at (0.000, 0.000, 0.500), I at (0.500, 0.500, 0.000) and N at (0.500, 0.500, 0.500).

***

No. 6
Material: TePIN2
Method: DFT, PBE-GGA
State: relaxed

It has space group P4/mmm (No. 123), with a = 3.950 Å, b = 3.950 Å, c = 5.788 Å, α = 90.00°, β = 90.00° and γ = 90.00°. The distinct sites, in fractional coordinates, are Te at (0.000, 0.000, 0.000), P at (0.000, 0.000, 0.500), I at (0.500, 0.500, 0.000) and N at (0.000, 0.500, 0.500).

***

| no. | total energy (eV/atom) |
| --- | --- |
| 1 | -4.641 |
| 2 | -5.177 |
| 3 | -5.733 |
| 4 | -3.460 |
| 5 | -2.698 |
| 6 | -3.841 |